[1]
This record from the Alexandria database describes a relaxed Nb2TeAuF crystal. The functional is PBE.

Its total energy is -28.25 eV/cell. The calculated volume is 18.8 A^3/atom.

Unit cell a=4.257 b=5.175 c=4.257 alpha=90.00 beta=90.00 gamma=90.00
Element x y z (fractional)
Nb 0.000 0.000 0.500
Nb 0.500 0.000 0.000
F 0.000 0.000 0.000
Au 0.500 0.500 0.500
Te 0.000 0.500 0.000



[2]
This record from the Alexandria database describes a relaxed NdAuF crystal. The functional is PBE.

Its total energy is -14.96 eV/cell. The calculated volume is 20.6 A^3/atom.

Unit cell a=3.458 b=3.458 c=5.726 alpha=107.58 beta=107.58 gamma=90.00
Element x y z (fractional)
Au 0.011 0.011 0.023
F 0.276 0.276 0.553
Nd 0.712 0.712 0.425



[3]
This record from the Alexandria database describes a relaxed Nd4Au2F crystal. The functional is PBE.

Its total energy is -35.14 eV/cell. The calculated volume is 26.7 A^3/atom.

Unit cell a=4.931 b=4.931 c=8.428 alpha=107.01 beta=107.01 gamma=90.00
Element x y z (fractional)
F 0.000 0.000 0.000
Au 0.376 0.376 0.752
Au 0.624 0.624 0.248
Nd 0.500 0.000 0.000
Nd 0.809 0.809 0.618
Nd 0.191 0.191 0.382
Nd 0.000 0.500 0.000